[1]
DFT (PBE-GGA) results for crystalline La12Dy2Y5 at its relaxed geometry.

abc: 22.580 10.697 5.766
angles: 90.00 104.75 90.00
Space group C2/m (No. 12)
One atom of each set of equivalent atoms:
1 La 0.073 0.000 0.044 (multiplicity 4)
2 La 0.082 0.213 0.572 (multiplicity 8)
3 La 0.123 0.500 0.143 (multiplicity 4)
4 La 0.194 0.219 0.192 (multiplicity 8)
5 Dy 0.000 0.304 0.000 (multiplicity 4)
6 Y 0.000 0.500 0.500 (multiplicity 2)
7 Y 0.186 0.500 0.702 (multiplicity 4)
8 Y 0.208 0.000 0.703 (multiplicity 4)

Properties
Excess energy over the best structure of this formula in the dataset (meV/atom): 0
Formation enthalpy at 0 K (eV/atom): 0.113

[2]
DFT (PBE-GGA) results for crystalline NaNiH3 at its relaxed geometry.

abc: 8.499 4.915 5.186
angles: 90.00 124.53 90.00
Space group Cm (No. 8)
One atom of each set of equivalent atoms:
1 Na 0.000 0.000 0.000 (multiplicity 2)
2 Na 0.215 0.000 0.662 (multiplicity 2)
3 Ni 0.080 0.500 0.749 (multiplicity 2)
4 Ni 0.271 0.500 0.324 (multiplicity 2)
5 H 0.042 0.500 0.025 (multiplicity 2)
6 H 0.176 0.500 0.540 (multiplicity 2)
7 H 0.241 0.309 0.031 (multiplicity 4)
8 H 0.425 0.250 0.541 (multiplicity 4)

Properties
E_tot (eV per atom): -3.530

[3]
DFT (PBE-GGA) results for crystalline IrPdPt2 at its relaxed geometry.

abc: 6.284 6.284 6.284
angles: 90.00 90.00 90.00
Space group Fm-3m (No. 225)
One atom of each set of equivalent atoms:
1 Ir 0.000 0.000 0.000 (multiplicity 4)
2 Pd 0.000 0.000 0.500 (multiplicity 4)
3 Pt 0.250 0.250 0.250 (multiplicity 8)

Properties
Excess energy over the best structure of this formula in the dataset (meV/atom): 209
Formation enthalpy at 0 K (eV/atom): 0.230

[4]
DFT (PBE-GGA) results for crystalline Pm4MgIr2 at its relaxed geometry.

abc: 7.366 7.367 7.855
angles: 102.71 102.72 96.72
Space group P1 (No. 1)
One atom of each set of equivalent atoms:
1 Pm 0.000 0.000 0.000 (multiplicity 1)
2 Pm 0.002 0.002 0.511 (multiplicity 1)
3 Pm 0.041 0.435 0.862 (multiplicity 1)
4 Pm 0.423 0.412 0.532 (multiplicity 1)
5 Pm 0.527 0.086 0.155 (multiplicity 1)
6 Pm 0.567 0.960 0.648 (multiplicity 1)
7 Pm 0.589 0.579 0.978 (multiplicity 1)
8 Pm 0.915 0.475 0.355 (multiplicity 1)
9 Mg 0.224 0.778 0.755 (multiplicity 1)
10 Mg 0.277 0.723 0.255 (multiplicity 1)
11 Ir 0.313 0.181 0.820 (multiplicity 1)
12 Ir 0.744 0.254 0.535 (multiplicity 1)
13 Ir 0.748 0.258 0.975 (multiplicity 1)
14 Ir 0.822 0.689 0.690 (multiplicity 1)

Properties
Formation enthalpy at 0 K (eV/atom): -0.382

[5]
DFT (PBE-GGA) results for crystalline VZnIrN2 at its relaxed geometry.

abc: 3.698 3.698 5.143
angles: 90.00 90.00 90.00
Space group P4/mmm (No. 123)
One atom of each set of equivalent atoms:
1 V 0.000 0.000 0.000 (multiplicity 1)
2 Zn 0.000 0.000 0.500 (multiplicity 1)
3 Ir 0.500 0.500 0.000 (multiplicity 1)
4 N 0.000 0.500 0.500 (multiplicity 2)

Properties
E_form (uncorrected) (eV/atom): 2.0476

[6]
DFT (PBE-GGA) results for crystalline Na2DyNpTe4 at its relaxed geometry.

abc: 7.751 4.460 7.957
angles: 90.00 109.04 90.00
Space group P2/m (No. 10)
One atom of each set of equivalent atoms:
1 Na 0.000 0.000 0.000 (multiplicity 1)
2 Na 0.500 0.500 0.000 (multiplicity 1)
3 Dy 0.000 0.500 0.500 (multiplicity 1)
4 Np 0.500 0.000 0.500 (multiplicity 1)
5 Te 0.241 0.000 0.733 (multiplicity 2)
6 Te 0.252 0.500 0.267 (multiplicity 2)

Properties
E_form (uncorrected) (eV/atom): -1.0550

[7]
DFT (PBE-GGA) results for crystalline PmTmMgPb at its relaxed geometry.

abc: 7.625 7.625 7.625
angles: 90.00 90.00 90.00
Space group F-43m (No. 216)
One atom of each set of equivalent atoms:
1 Pm 0.000 0.000 0.000 (multiplicity 4)
2 Tm 0.000 0.000 0.500 (multiplicity 4)
3 Mg 0.250 0.250 0.750 (multiplicity 4)
4 Pb 0.250 0.250 0.250 (multiplicity 4)

Properties
Formation enthalpy at 0 K (eV/atom): -0.271

[8]
DFT (PBE-GGA) results for crystalline Y3ZrIr at its relaxed geometry.

abc: 5.257 5.257 5.257
angles: 90.00 90.00 90.00
Space group Pm-3m (No. 221)
One atom of each set of equivalent atoms:
1 Y 0.000 0.000 0.500 (multiplicity 3)
2 Zr 0.000 0.000 0.000 (multiplicity 1)
3 Ir 0.500 0.500 0.500 (multiplicity 1)

Properties
Excess energy over the best structure of this formula in the dataset (meV/atom): 1104
Formation enthalpy at 0 K (eV/atom): 1.108

Number 1: size of the total moment 0.0 μB/f.u.. Number 2: size of the total moment 0.0 μB/f.u.. Number 3: size of the total moment 0.0 μB/f.u.. Number 4: size of the total moment 0.0 μB/f.u.. Number 5: size of the total moment 2.3 μB/f.u.. Number 6: size of the total moment 4.0 μB/f.u.. Number 7: size of the total moment 0.0 μB/f.u.. Number 8: size of the total moment 0.0 μB/f.u..